(1)
A plane-wave DFT calculation with PBE was carried out for a geometry-optimized Ca2SmPuSe4 structure.

Output
E_form (uncorrected), eV per atom: -1.815
DFT total energy, eV/f.u.: -51.51

Lattice parameters (Å, degrees): 4.1717 7.2229 7.3029 109.30 90.00 90.00
Site moments in Bohr magnetons follow the coordinates.
Element x y z (fractional)
Pu 0.0000 0.0000 0.0000  -5.49
Se 0.0000 0.7500 0.2515  0.01
Se 0.0000 0.2500 0.7485  0.01
Ca 0.0000 0.5000 0.5000  -0.02
Se 0.5000 0.7501 0.7496  0.04
Ca 0.5000 0.0000 0.5000  -0.01
Sm 0.5000 0.5000 0.0000  -0.08
Se 0.5000 0.2499 0.2504  0.04

(2)
A plane-wave DFT calculation with PBE was carried out for a geometry-optimized SrOsPb2 structure.

Output
DFT total energy, eV/f.u.: -18.01
Formation energy from the elements, eV/atom: 0.579

Lattice parameters (Å, degrees): 5.6127 5.6127 9.5903 72.98 72.98 90.00
Element x y z (fractional)
Sr 0.5000 0.5000 0.0000
Pb 0.9874 0.6250 0.2500
Pb 0.3750 0.2374 0.7500
Pb 0.7626 0.1250 0.2500
Os 0.0000 0.0000 0.0000
Pb 0.8750 0.0126 0.7500
Sr 0.2500 0.7500 0.5000
Os 0.7500 0.2500 0.5000

(3)
A plane-wave DFT calculation with PBE was carried out for a geometry-optimized CdSi2Pd2 structure.

Output
E_form (uncorrected), eV per atom: -0.214
DFT total energy, eV/f.u.: -23.22

Lattice parameters (Å, degrees): 7.4425 7.4425 2.9180 90.00 90.00 90.00
Element x y z (fractional)
Pd 0.7941 0.2941 0.5000
Si 0.8912 0.6088 0.0000
Si 0.1088 0.3912 0.0000
Pd 0.7059 0.7941 0.5000
Cd 0.0000 0.0000 0.0000
Pd 0.2941 0.2059 0.5000
Si 0.6088 0.1088 0.0000
Si 0.3912 0.8912 0.0000
Cd 0.5000 0.5000 0.0000
Pd 0.2059 0.7059 0.5000